CdSiSe3, optimized geometry, DFT PBE; space-group type = Pm-3m (221); raw formation energy = 0.17 eV/atom; E_tot = -15.928 eV/cell; excess energy over the best structure of this formula in the dataset = 533 meV/atom
1.0
4.882 0.000 0.000
0.000 4.882 0.000
0.000 0.000 4.882
Si Se Cd
1 3 1
Direct
0.000 0.000 0.000
0.000 0.500 0.000
0.500 0.000 0.000
0.000 0.000 0.500
0.500 0.500 0.500

=====

TaRu, optimized geometry, DFT PBE; space-group type = P6_3/mmc (194); E_form = 0.582 eV per atom; E_tot = -39.928 eV/cell
1.0
4.351 0.000 0.000
-2.175 3.768 0.000
0.000 0.000 5.180
Ru Ta
2 2
Direct
0.667 0.333 0.750
0.333 0.667 0.250
0.333 0.667 0.750
0.667 0.333 0.250

=====

TlCd2IrPb, optimized geometry, DFT PBE; space-group type = P4/mmm (123); E_form = 0.122 eV per atom; E_tot = -16.156 eV/cell
1.0
-4.386 -1.166 -2.762
-1.405 -3.524 3.720
-2.576 3.699 2.530
Tl Pb Cd Ir
1 1 2 1
Direct
0.500 0.500 0.500
0.000 0.000 0.500
0.000 0.500 0.000
0.500 0.000 0.000
0.000 0.000 0.000

=====

KZnSi, optimized geometry, DFT PBE; space-group type = F-43m (216); raw formation energy = 0.57 eV/atom; E_tot = -6.074 eV/cell; excess energy over the best structure of this formula in the dataset = 548 meV/atom
1.0
4.900 0.000 0.000
2.450 4.244 0.000
2.450 1.415 4.001
K Zn Si
1 1 1
Direct
0.500 0.500 0.500
0.000 0.000 0.000
0.750 0.750 0.750

=====

Mg2FeTc, optimized geometry, DFT PBE; space-group type = Fm-3m (225); E_form = 0.439 eV per atom; E_tot = -20.263 eV/cell; excess energy over the best structure of this formula in the dataset = 342 meV/atom
1.0
-1.449 0.891 4.141
-4.049 1.808 0.614
-3.294 -2.444 1.793
Mg Fe Tc
2 1 1
Direct
0.750 0.750 0.750
0.250 0.250 0.250
0.000 0.000 0.000
0.500 0.500 0.500

=====

SiRh2Br, optimized geometry, DFT PBE; space-group type = Fm-3m (225); raw formation energy = 0.25 eV/atom; E_tot = -20.785 eV/cell; excess energy over the best structure of this formula in the dataset = 579 meV/atom
1.0
0.000 3.130 3.130
3.130 0.000 3.130
3.130 3.130 0.000
Rh Si Br
2 1 1
Direct
0.250 0.250 0.250
0.750 0.750 0.750
0.000 0.000 0.000
0.500 0.500 0.500

=====

CdGaIN2, optimized geometry, DFT PBE; space-group type = P4/mmm (123); raw formation energy = 1.44 eV/atom; E_tot = -14.953 eV/cell; excess energy over the best structure of this formula in the dataset = 248 meV/atom
1.0
-0.925 -0.021 -4.433
3.961 -2.038 -0.817
-2.853 -5.794 0.623
N Ga Cd I
2 1 1 1
Direct
0.500 0.000 0.000
0.000 0.500 0.000
0.500 0.500 0.500
0.000 0.000 0.000
0.000 0.000 0.500

=====

Sm3DyGa2, optimized geometry, DFT PBE; space-group type = Pmc2_1 (26); E_form = -0.407 eV per atom; E_tot = -54.512 eV/cell; excess energy over the best structure of this formula in the dataset = 0 meV/atom
1.0
5.083 0.000 0.000
0.000 6.614 0.000
0.000 0.000 9.597
Sm Ga Dy
6 4 2
Direct
0.000 0.317 0.330
0.000 0.976 0.049
0.500 0.682 0.176
0.000 0.817 0.670
0.500 0.182 0.824
0.000 0.476 0.951
0.500 0.709 0.853
0.000 0.794 0.354
0.500 0.209 0.147
0.000 0.294 0.646
0.500 0.022 0.448
0.500 0.522 0.552

=====

Rb2MgBr6O, optimized geometry, DFT PBE; space-group type = I4/mmm (139); raw formation energy = -0.86 eV/atom; E_tot = -27.152 eV/cell
1.0
-6.342 -3.508 0.507
3.296 -6.219 -1.801
-0.457 -5.961 5.092
Br Rb Mg O
6 2 1 1
Direct
0.790 0.790 0.420
0.277 0.277 0.000
0.210 0.210 0.580
0.277 0.723 0.000
0.723 0.277 0.000
0.723 0.723 0.000
0.250 0.750 0.500
0.750 0.250 0.500
0.000 0.000 0.000
0.500 0.500 0.000

=====

La2TbPm5Th, optimized geometry, DFT PBE; space-group type = Cmc2_1 (36); E_form = 0.144 eV per atom; E_tot = -88.725 eV/cell
1.0
-0.430 4.761 -3.200
4.101 -7.441 -6.451
-9.875 -2.879 -2.957
La Pm Tb Th
4 10 2 2
Direct
0.117 0.234 0.318
0.883 0.766 0.818
0.884 0.769 0.232
0.116 0.231 0.732
0.481 0.962 0.742
0.276 0.552 0.313
0.984 0.967 0.521
0.519 0.038 0.242
0.724 0.448 0.813
0.016 0.033 0.021
0.388 0.777 0.025
0.295 0.590 0.704
0.705 0.410 0.204
0.612 0.223 0.525
0.593 0.186 0.958
0.407 0.814 0.458
0.800 0.600 0.511
0.200 0.400 0.011

=====

Al2TeBr, optimized geometry, DFT PBE; space-group type = I-4m2 (119); raw formation energy = 0.03 eV/atom; E_tot = -12.175 eV/cell; excess energy over the best structure of this formula in the dataset = 361 meV/atom
1.0
7.527 -0.001 0.000
5.321 5.325 0.000
-6.424 -2.662 2.883
Al Te Br
2 1 1
Direct
0.250 0.750 0.500
0.000 0.000 0.000
0.750 0.250 0.500
0.500 0.500 0.000

=====

Ce4Tl2Cd, optimized geometry, DFT PBE; space-group type = Cmmm (65); E_form = -0.073 eV per atom; E_tot = -29.895 eV/cell; excess energy over the best structure of this formula in the dataset = 0 meV/atom
1.0
-3.290 -0.094 0.620
0.417 -4.914 1.472
1.702 5.807 9.904
Cd Ce Tl
1 4 2
Direct
0.000 0.500 0.000
0.500 0.940 0.879
0.000 0.214 0.427
0.500 0.060 0.121
0.000 0.786 0.573
0.500 0.653 0.306
0.500 0.347 0.694

=====

Sr2RuW, optimized geometry, DFT PBE; space-group type = R-3m (166); E_form = 1.286 eV per atom; E_tot = -20.448 eV/cell; excess energy over the best structure of this formula in the dataset = 948 meV/atom
1.0
-8.247 -4.187 -5.010
-8.140 -6.166 -2.523
-9.688 -3.398 -2.287
Sr Ru W
2 1 1
Direct
0.493 0.493 0.493
0.007 0.007 0.007
0.750 0.750 0.750
0.250 0.250 0.250

=====

NdDyYCd, optimized geometry, DFT PBE; space-group type = F-43m (216); E_form = -0.030 eV per atom; E_tot = -16.869 eV/cell; excess energy over the best structure of this formula in the dataset = 128 meV/atom
1.0
5.511 0.000 0.000
2.755 4.772 0.000
2.755 1.591 4.499
Cd Dy Nd Y
1 1 1 1
Direct
0.500 0.500 0.500
0.000 0.000 0.000
0.250 0.250 0.250
0.750 0.750 0.750